Run P
This record from the Alexandria database describes a geometry-optimized TiTc3Sn structure. The functional is GGA-PBE.

The value obtained for the magnetization is 2.53 μB/f.u.

The structure in CIF format:
```
data_TiTc3Sn
_cell_length_a 4.574
_cell_length_b 4.574
_cell_length_c 4.574
_cell_angle_alpha 90.00
_cell_angle_beta 90.00
_cell_angle_gamma 90.00
_symmetry_space_group_name_H-M 'P m -3 m'
_symmetry_Int_Tables_number 221
_symmetry_space_group_name_Hall '-P 4 2 3'
loop_
_atom_site_label
_atom_site_fract_x
_atom_site_fract_y
_atom_site_fract_z
Ti1 0.000 0.000 0.000
Tc1 0.000 0.000 0.500
Sn1 0.500 0.500 0.500
```

=====

Run Q
This record from the Alexandria database describes a geometry-optimized TiTc3Sn structure. The functional is GGA-PBE.

The value obtained for the magnetization is 2.31 μB/f.u.

The structure in CIF format:
```
data_TiTc3Sn
_cell_length_a 4.802
_cell_length_b 4.802
_cell_length_c 4.802
_cell_angle_alpha 90.00
_cell_angle_beta 90.00
_cell_angle_gamma 90.00
_symmetry_space_group_name_H-M 'P m -3 m'
_symmetry_Int_Tables_number 221
_symmetry_space_group_name_Hall '-P 4 2 3'
loop_
_atom_site_label
_atom_site_fract_x
_atom_site_fract_y
_atom_site_fract_z
Ti1 0.000 0.000 0.000
Tc1 0.000 0.500 0.500
Sn1 0.500 0.500 0.500
```

=====

Which structure above is the least stable? It is run Q.